(1)
LiTbDyCd after structural relaxation, computed with GGA-PBE.

Cell: 5.266 5.266 5.266 Å, 60.00 60.00 60.00°
Fractional coordinates of all 4 atoms:
Li  0.000  0.000  0.000
Tb  0.250  0.250  0.250
Dy  0.750  0.750  0.750
Cd  0.500  0.500  0.500

Summary:
For the calculated volume, the calculation gives 25.8 A^3/atom. The value obtained for the energy relative to the elements is -0.11 eV/atom. As for the total energy: -3.1298 eV/atom.


(2)
LiTbDy2Cd4 after structural relaxation, computed with GGA-PBE.

Cell: 9.032 9.032 9.032 Å, 33.46 33.46 33.46°
Fractional coordinates of all 8 atoms:
Li  0.000  0.000  0.000
Tb  0.500  0.500  0.500
Dy  0.251  0.251  0.251
Dy  0.749  0.749  0.749
Cd  0.120  0.120  0.120
Cd  0.373  0.373  0.373
Cd  0.627  0.627  0.627
Cd  0.880  0.880  0.880

Summary:
For the calculated volume, the calculation gives 24.9 A^3/atom. The value obtained for the energy relative to the elements is -0.28 eV/atom. As for the total energy: -2.7045 eV/atom.


(3)
LiDyThCd after structural relaxation, computed with GGA-PBE.

Cell: 5.316 5.316 5.316 Å, 60.00 60.00 60.00°
Fractional coordinates of all 4 atoms:
Li  0.000  0.000  0.000
Dy  0.750  0.750  0.750
Th  0.250  0.250  0.250
Cd  0.500  0.500  0.500

Summary:
For the calculated volume, the calculation gives 26.6 A^3/atom. The value obtained for the energy relative to the elements is 0.02 eV/atom. As for the total energy: -3.6936 eV/atom.


(4)
LiDyTlCd after structural relaxation, computed with GGA-PBE.

Cell: 5.102 5.102 5.102 Å, 60.00 60.00 60.00°
Fractional coordinates of all 4 atoms:
Li  0.000  0.000  0.000
Dy  0.500  0.500  0.500
Tl  0.250  0.250  0.250
Cd  0.750  0.750  0.750

Summary:
For the calculated volume, the calculation gives 23.5 A^3/atom. The value obtained for the energy relative to the elements is -0.31 eV/atom. As for the total energy: -2.7557 eV/atom.